Here is a relaxed structure of Ca2MnReO6 from Alexandria. Energies are from PBE with a Hubbard U.

Cell lengths 5.3531, 5.3531, 4.9927 Å; angles 90.00, 90.00, 90.00 degrees
Closest atoms and distances in Å follow each position.
Element x y z (fractional)
1 Ca 0.0000 0.5000 0.0000  4 O 2.36
2 Ca 0.5000 0.0000 0.0000  4 O 2.36
3 Mn 0.0000 0.0000 0.5645  5 O 1.99-2.15
4 Re 0.5000 0.5000 0.5825  5 O 1.79-1.90
5 O 0.0000 0.0000 0.1668  1 Mn 1.99
6 O 0.2654 0.2654 0.7185  1 Re 1.90
7 O 0.2654 0.7346 0.7185  1 Re 1.90
8 O 0.5000 0.5000 0.2247  1 Re 1.79
9 O 0.7346 0.2654 0.7185  1 Re 1.90
10 O 0.7346 0.7346 0.7185  1 Re 1.90

Calculated values
SG: No. 99
DFT total energy, eV per atom: -7.454
Density of states at the Fermi level, states/eV/cell: 0.050
M_tot, μB/cell: 6.00